1.
Cs2GaTe4Pb: relaxed, PBE-GGA.

a b c (Å): 9.3251 9.3251 7.6405
angles (deg): 90.00 90.00 90.00
Closest atoms and distances in Å follow each position.
Space group I-42m (No. 121)
Inequivalent atoms, fractional coordinates:
Cs  0.0000  0.5000  0.0000 [4 per cell]  2 Cs 3.82, 8 Te 3.86-4.11
Ga  0.0000  0.0000  0.0000 [2 per cell]  4 Te 2.70
Te  0.1624  0.1624  0.7839 [8 per cell]  1 Ga 2.70
Pb  0.0000  0.0000  0.5000 [2 per cell]  4 Te 3.05

Computed properties:
- raw formation energy (meV/atom) = -618
- crystal system = tetragonal
- electronic total energy (Ry per atom) = -0.238

2.
CsVGaPb2: relaxed, PBE-GGA.

a b c (Å): 6.3347 6.3347 5.4063
angles (deg): 90.00 90.00 90.00
Closest atoms and distances in Å follow each position.
Space group P4/mmm (No. 123)
Inequivalent atoms, fractional coordinates:
Cs  0.0000  0.0000  0.0000 [1 per cell]  2 V 2.70
V  0.0000  0.0000  0.5000 [1 per cell]  2 Cs 2.70
Ga  0.5000  0.5000  0.5000 [1 per cell]  8 Pb 4.16, 4 V 4.48
Pb  0.0000  0.5000  0.0000 [2 per cell]  2 Cs 3.17

Computed properties:
- crystal system = tetragonal
- energy of formation (kJ per mole of atoms) = 165
- electronic total energy (Ry per atom) = -0.174

3.
CsGa2Pd2: relaxed, PBE-GGA.

a b c (Å): 8.3569 8.3569 3.0352
angles (deg): 90.00 90.00 90.00
Closest atoms and distances in Å follow each position.
Space group P4/mbm (No. 127)
Inequivalent atoms, fractional coordinates:
Cs  0.0000  0.0000  0.0000 [2 per cell]  2 Cs 3.04, 4 Ga 3.36
Ga  0.1149  0.3851  0.0000 [4 per cell]  3 Ga 2.72-3.04, 6 Pd 2.80-3.04
Pd  0.1623  0.6623  0.5000 [4 per cell]  6 Ga 2.80-3.04, 2 Pd 3.04

Computed properties:
- crystal system = tetragonal
- energy of formation (kJ per mole of atoms) = -9
- electronic total energy (Ry per atom) = -0.261

4.
CsGa2Pd: relaxed, PBE-GGA.

a b c (Å): 6.4671 6.4671 14.0226
angles (deg): 90.00 90.00 90.00
Closest atoms and distances in Å follow each position.
Space group I4_1/amd (No. 141, origin choice 2)
Inequivalent atoms, fractional coordinates:
Cs  0.0000  0.2500  0.3750 [4 per cell]  8 Ga 4.02
Ga  0.0000  0.0000  0.0000 [8 per cell]  2 Pd 2.38
Pd  0.0000  0.2500  0.8750 [4 per cell]  4 Ga 2.38

Computed properties:
- crystal system = tetragonal
- energy of formation (kJ per mole of atoms) = -19
- electronic total energy (Ry per atom) = -0.237

Number 1: density of states at the Fermi level 8.23 states/eV per cell, total magnetic moment 0.000 μB/atom. Number 2: density of states at the Fermi level 6.24 states/eV per cell, total magnetic moment 0.694 μB/atom. Number 3: density of states at the Fermi level 3.32 states/eV per cell, total magnetic moment 0.000 μB/atom. Number 4: density of states at the Fermi level 9.69 states/eV per cell, total magnetic moment 0.000 μB/atom.